## Tc2NiAu (SCAN)

Data for a PBEsol-optimized structure of Tc2NiAu.

Results
energy of formation = 22 kJ/mol of atoms
offset from the most stable computed form = 16 meV per atom
Fermi-level density of states = 3.38 states/eV/cell

Cell lengths 2.6893, 4.5794, 4.7377 Å; angles 99.97, 106.49, 90.00 degrees
Fractional positions:
Au1 0.5000 0.0000 0.0000
Ni1 0.0000 0.5000 0.0000
Tc1 0.2557 0.2663 0.5113
Tc2 0.7443 0.7337 0.4887

## Tc2NiAu (SCAN)

Data for a PBEsol-optimized structure of Tc2NiAu.

Results
energy of formation = 54 kJ/mol of atoms
offset from the most stable computed form = 350 meV per atom
Fermi-level density of states = 6.24 states/eV/cell

Cell lengths 4.2915, 4.2915, 4.2915 Å; angles 60.00, 60.00, 60.00 degrees
Fractional positions:
Au1 0.0000 0.0000 0.0000
Ni1 0.5000 0.5000 0.5000
Tc1 0.7500 0.7500 0.7500
Tc2 0.2500 0.2500 0.2500

## NiTe2Au (SCAN)

Data for a PBEsol-optimized structure of NiTe2Au.

Results
offset from the most stable computed form = 490 meV per atom
ΔE_f (raw) = 384 meV per atom
Fermi-level density of states = 3.15 states/eV/cell

Cell lengths 3.8289, 3.8665, 5.7084 Å; angles 90.00, 90.00, 90.00 degrees
Fractional positions:
Au1 0.5000 0.5000 0.0000
Ni1 0.0000 0.5000 0.5000
Te1 0.0000 0.0000 0.0000
Te2 0.5000 0.0000 0.5000

## NiTe2Au (SCAN)

Data for a PBEsol-optimized structure of NiTe2Au.

Results
offset from the most stable computed form = 553 meV per atom
ΔE_f (raw) = 447 meV per atom
Fermi-level density of states = 2.58 states/eV/cell

Cell lengths 3.2167, 4.9574, 4.9574 Å; angles 90.00, 90.00, 90.00 degrees
Fractional positions:
Au1 0.5000 0.5000 0.5000
Ni1 0.5000 0.0000 0.0000
Te1 0.0000 0.0000 0.5000
Te2 0.0000 0.5000 0.0000

## NiTe2Au (SCAN)

Data for a PBEsol-optimized structure of NiTe2Au.

Results
offset from the most stable computed form = 0 meV per atom
ΔE_f (raw) = -106 meV per atom
Fermi-level density of states = 2.43 states/eV/cell

Cell lengths 3.6247, 4.2342, 6.3818 Å; angles 109.37, 106.50, 90.00 degrees
Fractional positions:
Ni1 0.0000 0.5000 0.0000
Te1 0.6542 0.6542 0.3083
Te2 0.3458 0.3458 0.6917
Au1 0.5000 0.0000 0.0000

## NiTe3Au (SCAN)

Data for a PBEsol-optimized structure of NiTe3Au.

Results
ΔE_f (raw) = 1038 meV per atom
Fermi-level density of states = 8.20 states/eV/cell

Cell lengths 5.3228, 5.3228, 5.3228 Å; angles 90.00, 90.00, 90.00 degrees
Site moments in Bohr magnetons follow the coordinates.
Fractional positions:
Ni1 0.5000 0.5000 0.5000  1.12
Te1 0.0000 0.5000 0.0000  0.20
Te2 0.0000 0.0000 0.5000  0.20
Te3 0.5000 0.0000 0.0000  0.20
Au1 0.0000 0.0000 0.0000  0.02